# PBE TiFe2Ni5, relaxed
data_TiFe2Ni5
_chemical_formula_sum 'Ti1 Fe2 Ni5'
_cell_length_a 6.294
_cell_length_b 6.294
_cell_length_c 6.294
_cell_angle_alpha 156.97
_cell_angle_beta 102.89
_cell_angle_gamma 81.75
_symmetry_space_group_name_H-M 'P 1'
_symmetry_Int_Tables_number 1
_symmetry_space_group_name_Hall 'P 1'
loop_
_atom_site_label
_atom_site_fract_x
_atom_site_fract_y
_atom_site_fract_z
_atom_site_occupancy
Ti1 0.000 0.000 0.000 1
Fe1 0.246 0.746 0.500 1
Fe2 0.754 0.254 0.500 1
Ni1 0.140 0.370 0.770 1
Ni2 0.400 0.630 0.770 1
Ni3 0.500 0.000 0.500 1
Ni4 0.600 0.370 0.230 1
Ni5 0.860 0.630 0.230 1
# SG	Immm
# M_tot	6.6	μB per formula unit
# ΔE_f	-0.05	eV/atom
# Fermi-level density of states	9.9	states/eV per cell

***

# PBE TiFeNi14, relaxed
data_TiFeNi14
_chemical_formula_sum 'Ti1 Fe1 Ni14'
_cell_length_a 5.025
_cell_length_b 5.025
_cell_length_c 7.074
_cell_angle_alpha 90.00
_cell_angle_beta 90.00
_cell_angle_gamma 90.00
_symmetry_space_group_name_H-M 'P 1'
_symmetry_Int_Tables_number 1
_symmetry_space_group_name_Hall 'P 1'
loop_
_atom_site_label
_atom_site_fract_x
_atom_site_fract_y
_atom_site_fract_z
_atom_site_occupancy
Ti1 0.000 0.000 0.000 1
Fe1 0.500 0.500 0.000 1
Ni1 0.000 0.000 0.500 1
Ni2 0.000 0.500 0.000 1
Ni3 0.000 0.500 0.500 1
Ni4 0.252 0.252 0.253 1
Ni5 0.252 0.252 0.747 1
Ni6 0.252 0.748 0.253 1
Ni7 0.252 0.748 0.747 1
Ni8 0.500 0.000 0.000 1
Ni9 0.500 0.000 0.500 1
Ni10 0.500 0.500 0.500 1
Ni11 0.748 0.252 0.253 1
Ni12 0.748 0.252 0.747 1
Ni13 0.748 0.748 0.253 1
Ni14 0.748 0.748 0.747 1
# SG	P4/mmm
# M_tot	9.5	μB per formula unit
# ΔE_f	-0.11	eV/atom
# Fermi-level density of states	25.5	states/eV per cell